1.
DFT (meta-GGA SCAN) results for a PBEsol-optimized structure of SrNbSn2Se.

Values from the calculation:
- Energy above the most stable polymorph in this dataset: 0 meV per atom
- Volume: 28.9 Å³ per atom
- Magnetic moment: 0.00 μB/cell
- Crystal system: tetragonal
- Density: 5.710 g cm⁻³
- N(E_F): 3.44 states/eV/cell

```
data_SrNbSn2Se
_symmetry_space_group_name_H-M 'P 4/m m m'
_symmetry_Int_Tables_number 123
_symmetry_space_group_name_Hall '-P 4 2'
_cell_length_a 5.383
_cell_length_b 5.383
_cell_length_c 4.988
_cell_angle_alpha 90.00
_cell_angle_beta 90.00
_cell_angle_gamma 90.00
loop_
_atom_site_label
_atom_site_type_symbol
_atom_site_fract_x
_atom_site_fract_y
_atom_site_fract_z
Sr1 Sr 0.000 0.000 0.000
Nb1 Nb 0.500 0.500 0.500
Sn1 Sn 0.000 0.500 0.500
Se1 Se 0.500 0.500 0.000
```

=====

2.
DFT (meta-GGA SCAN) results for a PBEsol-optimized structure of SrBePd3.

Values from the calculation:
- Energy: -25.580 eV per atom
- Volume: 16.7 Å³ per atom
- Magnetic moment: 0.00 μB/cell
- Crystal system: cubic
- Density: 8.267 g cm⁻³
- N(E_F): 0.96 states/eV/cell

```
data_SrBePd3
_symmetry_space_group_name_H-M 'P m -3 m'
_symmetry_Int_Tables_number 221
_symmetry_space_group_name_Hall '-P 4 2 3'
_cell_length_a 4.371
_cell_length_b 4.371
_cell_length_c 4.371
_cell_angle_alpha 90.00
_cell_angle_beta 90.00
_cell_angle_gamma 90.00
loop_
_atom_site_label
_atom_site_type_symbol
_atom_site_fract_x
_atom_site_fract_y
_atom_site_fract_z
Sr1 Sr 0.000 0.000 0.000
Be1 Be 0.500 0.500 0.500
Pd1 Pd 0.000 0.500 0.500
```

=====

3.
DFT (meta-GGA SCAN) results for a PBEsol-optimized structure of TiCrCuS4.

Values from the calculation:
- Energy above the most stable polymorph in this dataset: 205 meV per atom
- Volume: 15.2 Å³ per atom
- Magnetic moment: 2.61 μB/cell
- Crystal system: monoclinic
- Density: 4.553 g cm⁻³
- N(E_F): 3.66 states/eV/cell

```
data_TiCrCuS4
_symmetry_space_group_name_H-M 'P 1 21/m 1'
_symmetry_Int_Tables_number 11
_symmetry_space_group_name_Hall '-P 2yb'
_cell_length_a 5.691
_cell_length_b 3.333
_cell_length_c 11.218
_cell_angle_alpha 90.00
_cell_angle_beta 90.63
_cell_angle_gamma 90.00
loop_
_atom_site_label
_atom_site_type_symbol
_atom_site_fract_x
_atom_site_fract_y
_atom_site_fract_z
Ti1 Ti 0.246 0.250 0.004
Cr1 Cr 0.305 0.250 0.495
Cu1 Cu 0.227 0.250 0.737
S1 S 0.084 0.750 0.600
S2 S 0.089 0.750 0.133
S3 S 0.405 0.750 0.369
S4 S 0.413 0.750 0.870
```